#1
The following is a DFT calculation (GGA-PBE) of a relaxed structure of Nd6Y5Ho.

a = 9.5786 Å, b = 9.5786 Å, c = 9.5786 Å
α = 148.81°, β = 115.95°, γ = 72.96°
Fractional positions:
Nd 0.0832 0.3337 0.7495
Nd 0.2490 0.0000 0.2490
Nd 0.4158 0.6663 0.7495
Nd 0.5842 0.3337 0.2505
Nd 0.7510 0.0000 0.7510
Nd 0.9168 0.6663 0.2505
Y 0.1664 0.1664 0.0000
Y 0.3335 0.8335 0.5000
Y 0.5000 0.5000 0.0000
Y 0.6665 0.1665 0.5000
Y 0.8336 0.8336 0.0000
Ho 0.0000 0.5000 0.5000

Calculated values
The space group is No. 71. The value obtained for the magnetization is 0.0 μB per formula unit. The calculation puts the volume at 33.58 Å³ per atom.

#2
The following is a DFT calculation (GGA-PBE) of a relaxed structure of Nd6Y5Ho.

a = 6.2918 Å, b = 6.2918 Å, c = 11.8850 Å
α = 95.05°, β = 95.05°, γ = 119.99°
Fractional positions:
Nd 0.0827 0.4151 0.2495
Nd 0.2497 0.2497 0.7505
Nd 0.4151 0.0827 0.2495
Nd 0.5849 0.9173 0.7505
Nd 0.7503 0.7503 0.2495
Nd 0.9173 0.5849 0.7505
Y 0.1666 0.8334 0.5000
Y 0.3333 0.6667 0.0000
Y 0.5000 0.5000 0.5000
Y 0.6667 0.3333 0.0000
Y 0.8334 0.1666 0.5000
Ho 0.0000 0.0000 0.0000

Calculated values
The space group is No. 12. The value obtained for the magnetization is 0.0 μB per formula unit. The calculation puts the volume at 33.43 Å³ per atom.

Which one sits at the top of the stability order? #2 does.

#1
The following is a DFT calculation (GGA-PBE) of a relaxed structure of NdY4Ho6.

a = 8.5207 Å, b = 8.5207 Å, c = 8.5207 Å
α = 127.22°, β = 127.22°, γ = 77.90°
Fractional positions:
Nd 0.0000 0.0000 0.0000
Y 0.2537 0.2537 0.6667
Y 0.4130 0.7463 0.0000
Y 0.5870 0.5870 0.3333
Y 0.7463 0.4130 0.0000
Ho 0.0000 0.5000 0.5000
Ho 0.0549 0.5786 0.0000
Ho 0.4214 0.4214 0.4763
Ho 0.5000 0.0000 0.5000
Ho 0.5786 0.0549 0.0000
Ho 0.9451 0.9451 0.5237

Calculated values
The space group is No. 121. The value obtained for the magnetization is 0.0 μB per formula unit. The calculation puts the volume at 34.57 Å³ per atom.

#2
The following is a DFT calculation (GGA-PBE) of a relaxed structure of NdY4Ho6.

a = 9.7291 Å, b = 9.7291 Å, c = 9.7291 Å
α = 140.62°, β = 140.62°, γ = 56.91°
Fractional positions:
Nd 0.0000 0.0000 0.0000
Y 0.0126 0.0126 0.3743
Y 0.3617 0.9874 0.0000
Y 0.6383 0.6383 0.6257
Y 0.9874 0.3617 0.0000
Ho 0.0000 0.5000 0.5000
Ho 0.1913 0.5490 0.0000
Ho 0.4510 0.4510 0.6423
Ho 0.5000 0.0000 0.5000
Ho 0.5490 0.1913 0.0000
Ho 0.8087 0.8087 0.3577

Calculated values
The space group is No. 121. The value obtained for the magnetization is 0.0 μB per formula unit. The calculation puts the volume at 33.42 Å³ per atom.

Which one sits at the top of the stability order? #2 does.

#1
The following is a DFT calculation (GGA-PBE) of a relaxed structure of Nd4HoZn.

a = 3.6649 Å, b = 3.6649 Å, c = 13.9531 Å
α = 90.00°, β = 90.00°, γ = 90.00°
Fractional positions:
Nd 0.0000 0.0000 0.1321
Nd 0.0000 0.0000 0.8679
Nd 0.5000 0.5000 0.3206
Nd 0.5000 0.5000 0.6794
Ho 0.0000 0.0000 0.5000
Zn 0.5000 0.5000 0.0000

Calculated values
The space group is No. 123. The value obtained for the magnetization is 0.0 μB per formula unit. The calculation puts the volume at 31.23 Å³ per atom.

#2
The following is a DFT calculation (GGA-PBE) of a relaxed structure of Nd4HoZn.

a = 8.2506 Å, b = 8.2506 Å, c = 6.3852 Å
α = 100.12°, β = 100.12°, γ = 113.54°
Fractional positions:
Nd 0.0794 0.7133 0.9493
Nd 0.1681 0.3903 0.6248
Nd 0.2867 0.9206 0.5507
Nd 0.3903 0.1681 0.1248
Nd 0.6097 0.8319 0.8752
Nd 0.7133 0.0794 0.4493
Nd 0.8319 0.6097 0.3752
Nd 0.9206 0.2867 0.0507
Ho 0.4067 0.5933 0.2500
Ho 0.5933 0.4067 0.7500
Zn 0.0006 0.9994 0.2500
Zn 0.9994 0.0006 0.7500

Calculated values
The space group is No. 15. The value obtained for the magnetization is 0.0 μB per formula unit. The calculation puts the volume at 31.45 Å³ per atom.

Which one sits at the top of the stability order? #1 does.

#1
The following is a DFT calculation (GGA-PBE) of a relaxed structure of NdHoZn4.

a = 3.7859 Å, b = 3.7869 Å, c = 9.8869 Å
α = 90.00°, β = 90.10°, γ = 90.00°
Fractional positions:
Nd 0.0000 0.0000 0.0000
Ho 0.5001 0.5005 0.5000
Zn 0.0006 0.5000 0.7430
Zn 0.5000 0.0000 0.2570
Zn 0.5000 0.0000 0.7430
Zn 0.9994 0.5000 0.2570

Calculated values
The space group is No. 10. The value obtained for the magnetization is 0.0 μB per formula unit. The calculation puts the volume at 23.62 Å³ per atom.

#2
The following is a DFT calculation (GGA-PBE) of a relaxed structure of NdHoZn4.

a = 5.5129 Å, b = 5.5129 Å, c = 5.5129 Å
α = 60.00°, β = 60.00°, γ = 60.00°
Fractional positions:
Nd 0.0000 0.0000 0.0000
Ho 0.7500 0.7500 0.7500
Zn 0.3752 0.3752 0.3752
Zn 0.3752 0.3752 0.8742
Zn 0.3752 0.8742 0.3752
Zn 0.8742 0.3752 0.3752

Calculated values
The space group is No. 216. The value obtained for the magnetization is 0.0 μB per formula unit. The calculation puts the volume at 19.75 Å³ per atom.

Which one sits at the top of the stability order? #2 does.

#1
The following is a DFT calculation (GGA-PBE) of a relaxed structure of Nd2Ho2Zn.

a = 6.3043 Å, b = 6.3043 Å, c = 8.2114 Å
α = 106.40°, β = 106.40°, γ = 97.30°
Fractional positions:
Nd 0.1637 0.1637 0.4136
Nd 0.2746 0.2746 0.8761
Nd 0.7254 0.7254 0.1239
Nd 0.8363 0.8363 0.5864
Ho 0.2401 0.6156 0.2669
Ho 0.3844 0.7599 0.7331
Ho 0.6156 0.2401 0.2669
Ho 0.7599 0.3844 0.7331
Zn 0.1473 0.8527 0.0000
Zn 0.8527 0.1473 0.0000

Calculated values
The space group is No. 12. The value obtained for the magnetization is 0.0 μB per formula unit. The calculation puts the volume at 29.26 Å³ per atom.

#2
The following is a DFT calculation (GGA-PBE) of a relaxed structure of Nd2Ho2Zn.

a = 3.5893 Å, b = 3.5893 Å, c = 22.7295 Å
α = 90.00°, β = 90.00°, γ = 90.00°
Fractional positions:
Nd 0.0000 0.0000 0.1914
Nd 0.0000 0.0000 0.8086
Nd 0.5000 0.5000 0.3086
Nd 0.5000 0.5000 0.6914
Ho 0.0000 0.0000 0.4237
Ho 0.0000 0.0000 0.5763
Ho 0.5000 0.5000 0.0763
Ho 0.5000 0.5000 0.9237
Zn 0.0000 0.0000 0.0000
Zn 0.5000 0.5000 0.5000

Calculated values
The space group is No. 139. The value obtained for the magnetization is 0.0 μB per formula unit. The calculation puts the volume at 29.28 Å³ per atom.

Which one sits at the top of the stability order? #2 does.

#1
The following is a DFT calculation (GGA-PBE) of a relaxed structure of NdHo2Zn.

a = 3.5831 Å, b = 3.5831 Å, c = 31.0500 Å
α = 90.00°, β = 90.00°, γ = 120.00°
Fractional positions:
Nd 0.0000 0.0000 0.0000
Nd 0.3333 0.6667 0.6667
Nd 0.6667 0.3333 0.3333
Ho 0.0000 0.0000 0.2379
Ho 0.0000 0.0000 0.7621
Ho 0.3333 0.6667 0.4287
Ho 0.3333 0.6667 0.9046
Ho 0.6667 0.3333 0.0954
Ho 0.6667 0.3333 0.5713
Zn 0.0000 0.0000 0.5000
Zn 0.3333 0.6667 0.1667
Zn 0.6667 0.3333 0.8333

Calculated values
The space group is No. 166. The value obtained for the magnetization is 0.0 μB per formula unit. The calculation puts the volume at 28.77 Å³ per atom.

#2
The following is a DFT calculation (GGA-PBE) of a relaxed structure of NdHo2Zn.

a = 3.5767 Å, b = 3.5767 Å, c = 8.7041 Å
α = 90.00°, β = 90.00°, γ = 90.00°
Fractional positions:
Nd 0.0000 0.0000 0.0000
Ho 0.5000 0.5000 0.2983
Ho 0.5000 0.5000 0.7017
Zn 0.0000 0.0000 0.5000

Calculated values
The space group is No. 123. The value obtained for the magnetization is 0.0 μB per formula unit. The calculation puts the volume at 27.84 Å³ per atom.

#3
The following is a DFT calculation (GGA-PBE) of a relaxed structure of NdHo2Zn.

a = 3.6078 Å, b = 3.6078 Å, c = 30.9069 Å
α = 90.00°, β = 90.00°, γ = 120.00°
Fractional positions:
Nd 0.0000 0.0000 0.0000
Nd 0.3333 0.6667 0.6667
Nd 0.6667 0.3333 0.3333
Ho 0.0000 0.0000 0.5696
Ho 0.0000 0.0000 0.7626
Ho 0.3333 0.6667 0.2363
Ho 0.3333 0.6667 0.4293
Ho 0.6667 0.3333 0.0959
Ho 0.6667 0.3333 0.9030
Zn 0.0000 0.0000 0.1658
Zn 0.3333 0.6667 0.8324
Zn 0.6667 0.3333 0.4991

Calculated values
The space group is No. 160. The value obtained for the magnetization is 0.0 μB per formula unit. The calculation puts the volume at 29.03 Å³ per atom.

#4
The following is a DFT calculation (GGA-PBE) of a relaxed structure of NdHo2Zn.

a = 4.7666 Å, b = 4.7666 Å, c = 4.7883 Å
α = 90.00°, β = 90.00°, γ = 90.00°
Fractional positions:
Nd 0.0000 0.0000 0.0000
Ho 0.0000 0.5000 0.5000
Ho 0.5000 0.0000 0.5000
Zn 0.5000 0.5000 0.0000

Calculated values
The space group is No. 123. The value obtained for the magnetization is 0.0 μB per formula unit. The calculation puts the volume at 27.20 Å³ per atom.

Which one sits at the top of the stability order? #2 does.

#1
The following is a DFT calculation (GGA-PBE) of a relaxed structure of Nd2HoZn.

a = 3.6625 Å, b = 3.6625 Å, c = 8.7211 Å
α = 90.00°, β = 90.00°, γ = 90.00°
Fractional positions:
Nd 0.0000 0.0000 0.2120
Nd 0.0000 0.0000 0.7880
Ho 0.5000 0.5000 0.5000
Zn 0.5000 0.5000 0.0000

Calculated values
The space group is No. 123. The value obtained for the magnetization is 0.0 μB per formula unit. The calculation puts the volume at 29.25 Å³ per atom.

#2
The following is a DFT calculation (GGA-PBE) of a relaxed structure of Nd2HoZn.

a = 3.6348 Å, b = 3.6348 Å, c = 31.7235 Å
α = 90.00°, β = 90.00°, γ = 120.00°
Fractional positions:
Nd 0.0000 0.0000 0.2405
Nd 0.0000 0.0000 0.7595
Nd 0.3333 0.6667 0.4261
Nd 0.3333 0.6667 0.9072
Nd 0.6667 0.3333 0.0928
Nd 0.6667 0.3333 0.5739
Ho 0.0000 0.0000 0.0000
Ho 0.3333 0.6667 0.6667
Ho 0.6667 0.3333 0.3333
Zn 0.0000 0.0000 0.5000
Zn 0.3333 0.6667 0.1667
Zn 0.6667 0.3333 0.8333

Calculated values
The space group is No. 166. The value obtained for the magnetization is 0.0 μB per formula unit. The calculation puts the volume at 30.25 Å³ per atom.

Which one sits at the top of the stability order? #1 does.

#1
The following is a DFT calculation (GGA-PBE) of a relaxed structure of Nd2HoZn.

a = 5.1426 Å, b = 5.1426 Å, c = 17.4792 Å
α = 90.00°, β = 90.00°, γ = 90.00°
Fractional positions:
Nd 0.0000 0.0000 0.1448
Nd 0.0000 0.0000 0.8552
Nd 0.0000 0.5000 0.0000
Nd 0.0000 0.5000 0.5000
Nd 0.5000 0.0000 0.0000
Nd 0.5000 0.0000 0.5000
Nd 0.5000 0.5000 0.3552
Nd 0.5000 0.5000 0.6448
Ho 0.0000 0.0000 0.3497
Ho 0.0000 0.0000 0.6503
Ho 0.5000 0.5000 0.1503
Ho 0.5000 0.5000 0.8497
Zn 0.0000 0.5000 0.2500
Zn 0.0000 0.5000 0.7500
Zn 0.5000 0.0000 0.2500
Zn 0.5000 0.0000 0.7500

Calculated values
The space group is No. 139. The value obtained for the magnetization is 0.0 μB per formula unit. The calculation puts the volume at 28.89 Å³ per atom.

#2
The following is a DFT calculation (GGA-PBE) of a relaxed structure of Nd2HoZn.

a = 3.6638 Å, b = 3.6638 Å, c = 31.4527 Å
α = 90.00°, β = 90.00°, γ = 120.00°
Fractional positions:
Nd 0.0000 0.0000 0.0000
Nd 0.0000 0.0000 0.1862
Nd 0.3333 0.6667 0.6667
Nd 0.3333 0.6667 0.8529
Nd 0.6667 0.3333 0.3333
Nd 0.6667 0.3333 0.5196
Ho 0.0000 0.0000 0.7600
Ho 0.3333 0.6667 0.4266
Ho 0.6667 0.3333 0.0933
Zn 0.0000 0.0000 0.5933
Zn 0.3333 0.6667 0.2600
Zn 0.6667 0.3333 0.9266

Calculated values
The space group is No. 160. The value obtained for the magnetization is 0.0 μB per formula unit. The calculation puts the volume at 30.47 Å³ per atom.

#3
The following is a DFT calculation (GGA-PBE) of a relaxed structure of Nd2HoZn.

a = 7.7013 Å, b = 7.7013 Å, c = 7.7013 Å
α = 90.00°, β = 90.00°, γ = 90.00°
Fractional positions:
Nd 0.2500 0.2500 0.2500
Nd 0.2500 0.2500 0.7500
Nd 0.2500 0.7500 0.2500
Nd 0.2500 0.7500 0.7500
Nd 0.7500 0.2500 0.2500
Nd 0.7500 0.2500 0.7500
Nd 0.7500 0.7500 0.2500
Nd 0.7500 0.7500 0.7500
Ho 0.0000 0.0000 0.0000
Ho 0.0000 0.5000 0.5000
Ho 0.5000 0.0000 0.5000
Ho 0.5000 0.5000 0.0000
Zn 0.0000 0.0000 0.5000
Zn 0.0000 0.5000 0.0000
Zn 0.5000 0.0000 0.0000
Zn 0.5000 0.5000 0.5000

Calculated values
The space group is No. 225. The value obtained for the magnetization is 0.0 μB per formula unit. The calculation puts the volume at 28.55 Å³ per atom.

Which one sits at the top of the stability order? #1 does.